A geometry-optimized MgCo3F structure. Source: Alexandria via LeMat-Bulk, functional PBE+U.

Structure (POSCAR):
```
MgCo3F
1.0
4.669 0.000 0.000
0.000 4.669 0.000
0.000 0.000 4.669
Mg Co F
1 3 1
direct
0.000 0.000 0.000
0.000 0.000 0.500
0.000 0.500 0.000
0.500 0.000 0.000
0.500 0.500 0.500
```

Calculated values
- Relative energy among the computed polymorphs: 1.209 eV/atom
- Crystal system: cubic